The following is a DFT calculation (SCAN) of a PBEsol-optimized structure of CuTeMo2.

The structure in POSCAR format:
```
CuTeMo2
1.0
-1.7204 2.1788 4.1929
1.7204 -2.1788 4.1929
1.7204 2.1788 -4.1929
Cu Te Mo
1 1 2
Cartesian
0.0000 0.0000 0.0000 Cu
0.0000 2.1788 2.1589 Te
1.7204 0.0000 2.1419 Mo
0.0000 0.0000 4.1948 Mo
```

Summary:
The magnetic moment comes out at 0.000 μB per formula unit. As for the symmetry: No. 44. The calculation puts the formation energy (no corrections) at 1.73 eV per formula unit.

The following is a DFT calculation (SCAN) of a PBEsol-optimized structure of SrLi4In.

The structure in POSCAR format:
```
SrLi4In
1.0
0.0000 4.0315 4.0315
4.0315 0.0000 4.0315
4.0315 4.0315 0.0000
Sr Li In
1 4 1
Cartesian
0.0000 0.0000 0.0000 Sr
3.0470 3.0470 3.0470 Li
5.0160 5.0160 3.0470 Li
5.0160 3.0470 5.0160 Li
3.0470 5.0160 5.0160 Li
6.0473 6.0473 6.0473 In
```

Summary:
The magnetic moment comes out at 0.666 μB per formula unit. As for the symmetry: No. 216. The value obtained for the formation energy is -19.75 kJ/mol of atoms.

The following is a DFT calculation (SCAN) of a PBEsol-optimized structure of NaCu2S2.

The structure in POSCAR format:
```
NaCu2S2
1.0
-1.8535 1.8535 6.0745
1.8535 -1.8535 6.0745
1.8535 1.8535 -6.0745
Na Cu S
1 2 2
Cartesian
0.0000 0.0000 0.0000 Na
1.8535 0.0000 3.0373 Cu
0.0000 1.8535 3.0373 Cu
0.0000 0.0000 4.4219 S
0.0000 0.0000 7.7272 S
```

Summary:
The magnetic moment comes out at 0.000 μB per formula unit. As for the symmetry: No. 139. The calculation puts the formation energy (no corrections) at -2.88 eV per formula unit.

The following is a DFT calculation (SCAN) of a PBEsol-optimized structure of TaRe2Mo.

The structure in POSCAR format:
```
TaRe2Mo
1.0
2.7681 0.0000 0.0000
0.0000 2.7681 0.0000
0.0000 0.0000 8.2192
Ta Re Mo
1 2 1
Cartesian
0.0000 0.0000 0.0000 Ta
0.0000 0.0000 4.2779 Re
1.3841 1.3841 6.0766 Re
1.3841 1.3841 2.2699 Mo
```

Summary:
The magnetic moment comes out at 0.000 μB per formula unit. As for the symmetry: No. 99. The value obtained for the formation energy is 7.79 kJ/mol of atoms.

The following is a DFT calculation (SCAN) of a PBEsol-optimized structure of ZnGa2MoRu.

The structure in POSCAR format:
```
ZnGa2MoRu
1.0
4.6921 0.0000 0.0000
0.0000 4.6921 0.0000
0.0000 0.0000 4.6926
Zn Ga Mo Ru
1 2 1 1
Cartesian
0.0000 0.0000 0.0000 Zn
0.0000 2.3461 2.3463 Ga
2.3461 0.0000 2.3463 Ga
0.0000 0.0000 2.3463 Mo
2.3461 2.3461 0.0000 Ru
```

Summary:
The magnetic moment comes out at 1.628 μB per formula unit. As for the symmetry: No. 123. The value obtained for the formation energy is 122.12 kJ/mol of atoms.

The following is a DFT calculation (SCAN) of a PBEsol-optimized structure of Zn2IrRh.

The structure in POSCAR format:
```
Zn2IrRh
1.0
4.4213 0.0000 0.0000
0.0000 2.7530 0.0000
-1.7077 0.0000 4.4466
Zn Ir Rh
2 1 1
Cartesian
0.0000 0.0000 0.0000 Zn
-0.8538 1.3765 2.2233 Zn
1.3568 0.0000 2.2233 Ir
2.2107 1.3765 0.0000 Rh
```

Summary:
The magnetic moment comes out at 0.000 μB per formula unit. As for the symmetry: No. 10. The value obtained for the formation energy is -24.12 kJ/mol of atoms.

The following is a DFT calculation (SCAN) of a PBEsol-optimized structure of CoHg2Br.

The structure in POSCAR format:
```
CoHg2Br
1.0
3.0718 0.0000 0.0000
0.0000 3.0718 0.0000
0.0000 0.0000 8.3807
Co Hg Br
1 2 1
Cartesian
0.0000 0.0000 0.0000 Co
1.5359 1.5359 1.6189 Hg
1.5359 1.5359 6.7618 Hg
0.0000 0.0000 4.1904 Br
```

Summary:
The magnetic moment comes out at 1.822 μB per formula unit. As for the symmetry: No. 123. The calculation puts the formation energy (no corrections) at 1.47 eV per formula unit.

The following is a DFT calculation (SCAN) of a PBEsol-optimized structure of KLa2As2.

The structure in POSCAR format:
```
KLa2As2
1.0
-2.5842 2.5842 7.1715
2.5842 -2.5842 7.1715
2.5842 2.5842 -7.1715
K La As
1 2 2
Cartesian
0.0000 0.0000 0.0000 K
2.5842 0.0000 3.5858 La
0.0000 2.5842 3.5858 La
0.0000 0.0000 5.0688 As
0.0000 0.0000 9.2742 As
```

Summary:
The magnetic moment comes out at 0.002 μB per formula unit. As for the symmetry: No. 139. The value obtained for the formation energy is -87.08 kJ/mol of atoms.

The following is a DFT calculation (SCAN) of a PBEsol-optimized structure of Ti3CuSn2P6O24.

The structure in POSCAR format:
```
Ti3CuSn2P6O24
1.0
4.1922 2.4203 7.6789
-4.1922 2.4203 7.6789
0.0000 -4.8407 7.6789
Ti Cu Sn P O
3 1 2 6 24
Cartesian
0.0000 0.0000 0.0000 Ti
0.0000 0.0000 4.7760 Ti
0.0000 0.0000 16.1169 Ti
0.0000 0.0000 11.7904 Cu
0.0000 0.0000 8.7041 Sn
0.0000 0.0000 19.3635 Sn
-3.0373 0.3413 10.0726 P
-1.2375 -2.0836 13.8553 P
1.2230 -2.8011 10.0726 P
-1.1857 2.1135 13.8553 P
1.8143 2.4597 10.0726 P
2.4232 -0.0299 13.8553 P
-1.5505 0.4088 3.6236 O
-3.4622 1.0196 8.7727 O
-1.1457 -1.0771 5.8589 O
0.4212 -1.5472 3.6236 O
-2.6481 -2.5858 14.2138 O
0.8481 -3.5081 8.7727 O
-1.4985 0.4678 10.2213 O
-1.3558 -1.0927 12.7142 O
-0.3599 1.5308 5.8589 O
1.1293 1.1383 3.6236 O
0.3441 -1.5316 10.2213 O
1.5056 -0.4537 5.8589 O
-0.6162 -1.4558 15.1562 O
-1.4683 0.0459 17.6116 O
-0.9526 1.2616 15.1562 O
-0.2684 1.7205 12.7142 O
1.1544 1.0638 10.2213 O
1.6242 -0.6278 12.7142 O
-0.9153 3.5862 14.2138 O
0.6944 -1.2945 17.6116 O
1.5688 0.1942 15.1562 O
2.6141 2.4885 8.7727 O
0.7739 1.2486 17.6116 O
3.5634 -1.0004 14.2138 O
```

Summary:
The magnetic moment comes out at 1.000 μB per formula unit. As for the symmetry: No. 146. The calculation puts the formation energy (no corrections) at -89.61 eV per formula unit.

The following is a DFT calculation (SCAN) of a PBEsol-optimized structure of Ba2AsOs.

The structure in POSCAR format:
```
Ba2AsOs
1.0
3.3601 0.0000 0.0000
0.0000 3.3601 0.0000
0.0000 0.0000 9.8166
Ba As Os
2 1 1
Cartesian
0.0000 0.0000 0.0000 Ba
1.6801 1.6801 3.9832 Ba
1.6801 1.6801 7.3660 As
0.0000 0.0000 6.3721 Os
```

Summary:
The magnetic moment comes out at 0.219 μB per formula unit. As for the symmetry: No. 99. The value obtained for the formation energy is 17.34 kJ/mol of atoms.

The following is a DFT calculation (SCAN) of a PBEsol-optimized structure of LiTl2As.

The structure in POSCAR format:
```
LiTl2As
1.0
2.1705 1.2532 6.0976
-2.1705 1.2532 6.0976
0.0000 -2.5063 6.0976
Li Tl As
1 2 1
Cartesian
0.0000 0.0000 0.0000 Li
0.0000 0.0000 10.3218 Tl
0.0000 0.0000 14.0687 Tl
0.0000 0.0000 6.1359 As
```

Summary:
The magnetic moment comes out at 0.000 μB per formula unit. As for the symmetry: No. 160. The value obtained for the formation energy is -24.31 kJ/mol of atoms.

The following is a DFT calculation (SCAN) of a PBEsol-optimized structure of CaCdSe2.

The structure in POSCAR format:
```
CaCdSe2
1.0
2.0503 1.1838 6.5506
-2.0503 1.1838 6.5506
0.0000 -2.3675 6.5506
Ca Cd Se
1 1 2
Cartesian
0.0000 0.0000 0.0000 Ca
0.0000 0.0000 9.8260 Cd
0.0000 0.0000 4.8311 Se
0.0000 0.0000 14.8208 Se
```

Summary:
The magnetic moment comes out at 0.000 μB per formula unit. As for the symmetry: No. 166. The calculation puts the formation energy (no corrections) at -5.64 eV per formula unit.

Number 1: E_tot -120.489 eV for the cell shown, volume 63 Å³/cell. Number 2: E_tot -66.449 eV for the cell shown, volume 131 Å³/cell. Number 3: E_tot -56.752 eV for the cell shown, volume 83 Å³/cell. Number 4: E_tot -243.340 eV for the cell shown, volume 63 Å³/cell. Number 5: E_tot -109.591 eV for the cell shown, volume 103 Å³/cell. Number 6: E_tot -132.901 eV for the cell shown, volume 54 Å³/cell. Number 7: E_tot -171.623 eV for the cell shown, volume 79 Å³/cell. Number 8: E_tot -139.432 eV for the cell shown, volume 192 Å³/cell. Number 9: E_tot -436.682 eV for the cell shown, volume 467 Å³/cell. Number 10: E_tot -170.452 eV for the cell shown, volume 111 Å³/cell. Number 11: E_tot -168.305 eV for the cell shown, volume 100 Å³/cell. Number 12: E_tot -85.875 eV for the cell shown, volume 95 Å³/cell.